Entry 1:
# MgAl2As

A crystal of MgAl2As relaxed with PBEsol (meta-GGA SCAN, Alexandria).

abc: 5.5494 8.6270 3.0237
angles: 90.00 90.00 90.00
Space group Cmmm (No. 65)
Unique sites:
Mg1 0.0000 0.0000 0.0000 (multiplicity 2)
Al1 0.2500 0.2500 0.5000 (multiplicity 4)
As1 0.0000 0.5000 0.0000 (multiplicity 2)

## Properties
The calculation puts the formation energy from the elements at 2.92 kJ/mol of atoms. The calculated volume is 18.09 Å³ per atom. Its offset from the most stable computed form is 0 meV/atom.

***

Entry 2:
# P2PdSeCl

A crystal of P2PdSeCl relaxed with PBEsol (meta-GGA SCAN, Alexandria).

abc: 4.6439 4.6439 4.6169
angles: 90.00 90.00 90.00
Space group P4/mmm (No. 123)
Unique sites:
P1 0.0000 0.5000 0.0000 (multiplicity 2)
Pd1 0.0000 0.0000 0.0000 (multiplicity 1)
Se1 0.5000 0.5000 0.5000 (multiplicity 1)
Cl1 0.0000 0.0000 0.5000 (multiplicity 1)

## Properties
The total energy is -15.6675 eV per atom. The calculated volume is 19.91 Å³ per atom.

***

Entry 3:
# LaTlHg2N

A crystal of LaTlHg2N relaxed with PBEsol (meta-GGA SCAN, Alexandria).

abc: 5.5860 5.5860 4.1708
angles: 90.00 90.00 90.00
Space group P4/mmm (No. 123)
Unique sites:
La1 0.0000 0.0000 0.0000 (multiplicity 1)
Tl1 0.5000 0.5000 0.5000 (multiplicity 1)
Hg1 0.0000 0.5000 0.5000 (multiplicity 2)
N1 0.5000 0.5000 0.0000 (multiplicity 1)

## Properties
The total energy is -51.6880 eV per atom. The calculated volume is 26.03 Å³ per atom.